# Pm3Sm2UAs6, optimized geometry, DFT PBE
# calculated density = 7.5 Mg/m³
# calculated formation energy = -1.394 eV per atom
data_Pm3Sm2UAs6
_chemical_formula_sum 'Pm6 Sm4 U2 As12'
_symmetry_space_group_name_H-M 'C 1 2/m 1'
_symmetry_Int_Tables_number 12
_cell_length_a 18.279
_cell_length_b 4.193
_cell_length_c 8.432
_cell_angle_alpha 90.00
_cell_angle_beta 103.20
_cell_angle_gamma 90.00
loop_
_symmetry_equiv_pos_as_xyz
'x,y,z'
'-x,-y,-z'
'-x,y,-z'
'x,-y,z'
'x+1/2,y+1/2,z'
'-x+1/2,-y+1/2,-z'
'-x+1/2,y+1/2,-z'
'x+1/2,-y+1/2,z'
loop_
_atom_site_label
_atom_site_type_symbol
_atom_site_fract_x
_atom_site_fract_y
_atom_site_fract_z
Pm1 Pm 0.000 0.000 0.000
Pm2 Pm 0.168 0.500 0.333
Sm1 Sm 0.167 0.500 0.837
U1 U 0.000 0.000 0.500
As1 As 0.000 0.500 0.259
As2 As 0.162 0.000 0.582
As3 As 0.167 0.000 0.083

---

# PmSm2UAs4, optimized geometry, DFT PBE
# calculated density = 7.9 Mg/m³
# calculated formation energy = -1.324 eV per atom
data_PmSm2UAs4
_chemical_formula_sum 'Pm1 Sm2 U1 As4'
_symmetry_space_group_name_H-M 'P 1 2/m 1'
_symmetry_Int_Tables_number 10
_cell_length_a 7.249
_cell_length_b 4.170
_cell_length_c 7.249
_cell_angle_alpha 90.00
_cell_angle_beta 109.15
_cell_angle_gamma 90.00
loop_
_symmetry_equiv_pos_as_xyz
'x,y,z'
'-x,-y,-z'
'-x,y,-z'
'x,-y,z'
loop_
_atom_site_label
_atom_site_type_symbol
_atom_site_fract_x
_atom_site_fract_y
_atom_site_fract_z
Pm1 Pm 0.000 0.000 0.000
Sm1 Sm 0.000 0.500 0.500
Sm2 Sm 0.500 0.000 0.500
U1 U 0.500 0.500 0.000
As1 As 0.257 0.000 0.756
As2 As 0.257 0.500 0.245

---

# PmSmU2As4, optimized geometry, DFT PBE
# calculated density = 8.8 Mg/m³
# calculated formation energy = -1.133 eV per atom
data_PmSmU2As4
_chemical_formula_sum 'Pm1 Sm1 U2 As4'
_symmetry_space_group_name_H-M 'P 1 2/m 1'
_symmetry_Int_Tables_number 10
_cell_length_a 7.131
_cell_length_b 4.116
_cell_length_c 7.299
_cell_angle_alpha 90.00
_cell_angle_beta 109.00
_cell_angle_gamma 90.00
loop_
_symmetry_equiv_pos_as_xyz
'x,y,z'
'-x,-y,-z'
'-x,y,-z'
'x,-y,z'
loop_
_atom_site_label
_atom_site_type_symbol
_atom_site_fract_x
_atom_site_fract_y
_atom_site_fract_z
Pm1 Pm 0.000 0.000 0.000
Sm1 Sm 0.500 0.500 0.000
U1 U 0.000 0.500 0.500
U2 U 0.500 0.000 0.500
As1 As 0.248 0.000 0.741
As2 As 0.254 0.500 0.260

---

# PmSm3Y2As6, optimized geometry, DFT PBE
# calculated density = 6.5 Mg/m³
# calculated formation energy = -1.535 eV per atom
data_PmSm3Y2As6
_chemical_formula_sum 'Pm2 Sm6 Y4 As12'
_symmetry_space_group_name_H-M 'C 1 2/m 1'
_symmetry_Int_Tables_number 12
_cell_length_a 18.256
_cell_length_b 4.191
_cell_length_c 8.375
_cell_angle_alpha 90.00
_cell_angle_beta 103.25
_cell_angle_gamma 90.00
loop_
_symmetry_equiv_pos_as_xyz
'x,y,z'
'-x,-y,-z'
'-x,y,-z'
'x,-y,z'
'x+1/2,y+1/2,z'
'-x+1/2,-y+1/2,-z'
'-x+1/2,y+1/2,-z'
'x+1/2,-y+1/2,z'
loop_
_atom_site_label
_atom_site_type_symbol
_atom_site_fract_x
_atom_site_fract_y
_atom_site_fract_z
Pm1 Pm 0.000 0.000 0.000
Sm1 Sm 0.000 0.000 0.500
Sm2 Sm 0.166 0.500 0.832
Y1 Y 0.167 0.500 0.334
As1 As 0.001 0.500 0.252
As2 As 0.167 0.000 0.087
As3 As 0.168 0.000 0.580